No. 1
Material: RbPbAu10
Method: DFT, GGA-PBE
State: relaxed

```
RbPbAu10
1.0
-3.593 -2.126 1.950
-1.716 -1.874 -5.204
5.516 -8.260 1.157
Au Pb Rb
10 1 1
Cartesian
0.115 -2.395 -2.398
1.872 -2.803 0.392
-1.668 -4.574 -2.615
3.644 -5.457 0.764
-0.822 -3.649 -0.048
1.028 -8.612 -2.050
3.685 -7.740 -1.650
0.961 -5.193 1.553
-2.654 -2.000 -1.627
1.875 -7.687 0.518
1.900 -5.067 -2.024
0.000 0.000 0.000
```

Values from the calculation:
crystal system	orthorhombic
density of states at the Fermi level	4.74	states/eV/cell
formation energy	-0.088	eV per atom
size of the total moment	0.0	μB/cell
volume	266.9	Å³/cell

***

No. 2
Material: Rb3PbAu2
Method: DFT, GGA-PBE
State: relaxed

```
Rb3PbAu2
1.0
-7.303 -3.517 4.850
-4.341 -2.875 -8.622
9.654 -6.599 -2.661
Au Rb Pb
8 12 4
Cartesian
3.548 -7.343 -6.299
4.316 -6.277 -1.158
-5.538 -5.647 -0.134
-1.676 -10.578 -5.685
-6.306 -6.712 -5.275
-0.047 -8.071 -1.459
-1.943 -4.919 -4.975
-0.314 -2.412 -0.748
-4.897 -9.924 -5.052
3.852 -9.966 -9.306
-8.294 -6.199 -2.379
1.260 -5.476 -3.615
2.907 -3.066 -1.381
0.035 -7.839 -6.431
2.605 -9.102 -3.221
-2.025 -5.151 -0.002
-3.250 -7.514 -2.819
-5.843 -3.024 2.873
-4.595 -3.888 -3.212
6.304 -6.791 -4.054
1.647 -6.546 0.358
-1.025 -10.551 -2.845
-0.965 -2.439 -3.588
-3.637 -6.444 -6.791
```

Values from the calculation:
crystal system	monoclinic
density of states at the Fermi level	7.29	states/eV/cell
formation energy	-0.189	eV per atom
size of the total moment	0.0	μB/cell
volume	966.4	Å³/cell

***

No. 3
Material: RbPb2Au
Method: DFT, GGA-PBE
State: relaxed

```
RbPb2Au
1.0
-6.687 2.061 1.370
-2.914 -4.016 3.829
-1.226 4.448 5.881
Pb Rb Au
4 2 2
Cartesian
-3.773 -0.691 3.849
-4.489 4.237 5.492
-6.338 -1.744 5.588
-7.054 3.184 7.231
-3.886 0.671 7.589
-6.942 1.823 3.491
-2.854 1.993 4.632
-7.974 0.500 6.448
```

Values from the calculation:
crystal system	monoclinic
density of states at the Fermi level	3.61	states/eV/cell
formation energy	-0.148	eV per atom
size of the total moment	0.0	μB/cell
volume	273.0	Å³/cell